# BeZn2Rh PBE-GGA relaxed
data_BeZn2Rh
_cell_length_a 2.948
_cell_length_b 4.499
_cell_length_c 8.065
_cell_angle_alpha 90.00
_cell_angle_beta 90.00
_cell_angle_gamma 90.00
_space_group_name_H-M_alt 'C m m 2'
_space_group_IT_number 35
_space_group_name_Hall 'C 2 -2'
loop_
_atom_site_label
_atom_site_fract_x
_atom_site_fract_y
_atom_site_fract_z
Be1 0.000 0.000 0.000
Zn1 0.000 0.000 0.531
Zn2 0.000 0.500 0.245
Rh1 0.000 0.500 0.797
# **Fermi-level density of states**: 1.51 states/eV/f.u.
# **DFT formation energy**: -0.055 eV/atom
# **Electronic total energy**: -13.8 eV/f.u.
# **Volume**: 13.37 Å³ per atom



# Na3WN PBE-GGA relaxed
data_Na3WN
_cell_length_a 6.068
_cell_length_b 6.068
_cell_length_c 6.068
_cell_angle_alpha 90.00
_cell_angle_beta 90.00
_cell_angle_gamma 90.00
_space_group_name_H-M_alt 'P m -3 m'
_space_group_IT_number 221
_space_group_name_Hall '-P 4 2 3'
loop_
_atom_site_label
_atom_site_fract_x
_atom_site_fract_y
_atom_site_fract_z
Na1 0.000 0.000 0.500
W1 0.000 0.000 0.000
N1 0.500 0.500 0.500
# **Fermi-level density of states**: 5.44 states/eV/f.u.
# **Electronic total energy**: -13.4 eV/f.u.
# **Volume**: 44.70 Å³ per atom
# **ΔE_f (raw)**: 2.361 eV per atom



# CsIn2Pd PBE-GGA relaxed
data_CsIn2Pd
_cell_length_a 3.500
_cell_length_b 3.500
_cell_length_c 9.243
_cell_angle_alpha 90.00
_cell_angle_beta 90.00
_cell_angle_gamma 90.00
_space_group_name_H-M_alt 'P 4/m m m'
_space_group_IT_number 123
_space_group_name_Hall '-P 4 2'
loop_
_atom_site_label
_atom_site_fract_x
_atom_site_fract_y
_atom_site_fract_z
Cs1 0.000 0.000 0.000
In1 0.500 0.500 0.331
Pd1 0.000 0.000 0.500
# **Fermi-level density of states**: 1.98 states/eV/f.u.
# **DFT formation energy**: -0.194 eV/atom
# **Electronic total energy**: -12.3 eV/f.u.
# **Volume**: 28.30 Å³ per atom



# Th2Al3GaAu4 PBE-GGA relaxed
data_Th2Al3GaAu4
_cell_length_a 4.433
_cell_length_b 4.433
_cell_length_c 10.416
_cell_angle_alpha 90.00
_cell_angle_beta 90.00
_cell_angle_gamma 90.00
_space_group_name_H-M_alt 'P -4 m 2'
_space_group_IT_number 115
_space_group_name_Hall 'P -4 -2'
loop_
_atom_site_label
_atom_site_fract_x
_atom_site_fract_y
_atom_site_fract_z
Th1 0.000 0.500 0.250
Al1 0.000 0.000 0.000
Al2 0.000 0.500 0.631
Ga1 0.500 0.500 0.000
Au1 0.000 0.000 0.500
Au2 0.000 0.500 0.870
Au3 0.500 0.500 0.500
# **Fermi-level density of states**: 4.12 states/eV/f.u.
# **DFT formation energy**: -0.672 eV/atom
# **Electronic total energy**: -48.9 eV/f.u.
# **Volume**: 20.47 Å³ per atom



# Nd4B5C2 PBE-GGA relaxed
data_Nd4B5C2
_cell_length_a 6.773
_cell_length_b 3.784
_cell_length_c 7.000
_cell_angle_alpha 90.00
_cell_angle_beta 90.41
_cell_angle_gamma 90.00
_space_group_name_H-M_alt 'P 1 2/m 1'
_space_group_IT_number 10
_space_group_name_Hall '-P 2y'
loop_
_atom_site_label
_atom_site_fract_x
_atom_site_fract_y
_atom_site_fract_z
Nd1 0.226 0.000 0.386
Nd2 0.247 0.000 0.917
B1 0.101 0.500 0.710
B2 0.333 0.500 0.652
B3 0.500 0.500 0.500
C1 0.027 0.500 0.106
# **Fermi-level density of states**: 5.42 states/eV/f.u.
# **DFT formation energy**: -0.146 eV/atom
# **Electronic total energy**: -72.5 eV/f.u.
# **Volume**: 16.31 Å³ per atom